*A*
First-principles (PBE) data for a geometry-optimized LiGaAs2Se structure, as listed in the Alexandria database.

Properties
The calculation puts the density of states at the Fermi level at 5.07 states/eV/f.u.

```
LiGaAs2Se
1.0
4.911 0.000 0.000
0.000 4.911 0.000
0.000 0.000 5.250
As Ga Se Li
2 1 1 1
Cartesian
0.000 2.456 0.000 As
2.456 0.000 0.000 As
0.000 0.000 0.000 Ga
0.000 0.000 2.625 Se
2.456 2.456 2.625 Li
```

*B*
First-principles (PBE) data for a geometry-optimized LiGaAs2Se structure, as listed in the Alexandria database.

Properties
The calculation puts the density of states at the Fermi level at 3.46 states/eV/f.u.

```
LiGaAs2Se
1.0
4.610 0.000 0.000
0.000 4.610 0.000
0.000 0.000 4.928
As Ga Se Li
2 1 1 1
Cartesian
0.000 2.305 0.000 As
2.305 0.000 0.000 As
2.305 2.305 2.464 Ga
0.000 0.000 2.464 Se
0.000 0.000 0.000 Li
```

Quick one: most stable of them? *A*

*A*
First-principles (PBE) data for a geometry-optimized Mg2GaAs2 structure, as listed in the Alexandria database.

Properties
The calculation puts the density of states at the Fermi level at 1.18 states/eV/f.u.

```
Mg2GaAs2
1.0
-6.699 2.374 3.911
-3.760 -6.807 -2.309
0.983 -1.403 2.536
As Mg Ga
4 4 2
Cartesian
-5.454 -4.918 -0.607 As
-8.114 -2.483 1.772 As
-5.006 0.485 2.209 As
-2.345 -1.950 -0.170 As
-2.861 -4.730 0.339 Mg
-7.032 -5.029 1.790 Mg
-6.615 -1.107 3.799 Mg
-2.444 -0.808 2.348 Mg
0.000 0.000 0.000 Ga
-5.230 -2.217 0.801 Ga
```

*B*
First-principles (PBE) data for a geometry-optimized Mg2GaAs2 structure, as listed in the Alexandria database.

Properties
The calculation puts the density of states at the Fermi level at 1.32 states/eV/f.u.

```
Mg2GaAs2
1.0
8.046 0.000 0.000
0.000 8.046 0.000
0.000 0.000 3.160
As Mg Ga
4 4 2
Cartesian
1.311 5.334 1.580 As
5.334 6.735 1.580 As
6.735 2.712 1.580 As
2.712 1.311 1.580 As
2.925 6.948 0.000 Mg
6.948 5.122 0.000 Mg
5.122 1.098 0.000 Mg
1.098 2.925 0.000 Mg
0.000 0.000 0.000 Ga
4.023 4.023 0.000 Ga
```

*C*
First-principles (PBE) data for a geometry-optimized Mg2GaAs2 structure, as listed in the Alexandria database.

Properties
The calculation puts the density of states at the Fermi level at 2.64 states/eV/f.u.

```
Mg2GaAs2
1.0
-1.636 -3.043 1.813
0.073 -2.025 -3.334
5.697 -5.029 0.896
As Mg Ga
2 2 1
Cartesian
1.640 -5.303 0.975 As
2.494 -4.795 -1.599 As
0.586 -3.061 -0.411 Mg
3.547 -7.037 -0.214 Mg
0.000 0.000 0.000 Ga
```

Quick one: most stable of them? *A*

*A*
First-principles (PBE) data for a geometry-optimized Mg3GaAs structure, as listed in the Alexandria database.

Properties
The calculation puts the density of states at the Fermi level at 4.17 states/eV/f.u.

```
Mg3GaAs
1.0
4.976 0.000 0.000
0.000 4.976 0.000
0.000 0.000 4.976
As Mg Ga
1 3 1
Cartesian
2.488 2.488 2.488 As
0.000 2.488 0.000 Mg
0.000 0.000 2.488 Mg
2.488 0.000 0.000 Mg
0.000 0.000 0.000 Ga
```

*B*
First-principles (PBE) data for a geometry-optimized Mg3GaAs structure, as listed in the Alexandria database.

Properties
The calculation puts the density of states at the Fermi level at 2.99 states/eV/f.u.

```
Mg3GaAs
1.0
5.028 0.000 0.000
0.000 5.028 0.000
0.000 0.000 5.028
As Mg Ga
1 3 1
Cartesian
0.000 0.000 0.000 As
0.000 2.514 0.000 Mg
0.000 0.000 2.514 Mg
2.514 0.000 0.000 Mg
2.514 2.514 2.514 Ga
```

Quick one: most stable of them? *B*

*A*
First-principles (PBE) data for a geometry-optimized MgGaAs3 structure, as listed in the Alexandria database.

Properties
The calculation puts the density of states at the Fermi level at 3.35 states/eV/f.u.

```
MgGaAs3
1.0
5.027 0.000 0.000
0.000 5.027 0.000
0.000 0.000 5.027
As Mg Ga
3 1 1
Cartesian
0.000 2.513 0.000 As
0.000 0.000 2.513 As
2.513 0.000 0.000 As
0.000 0.000 0.000 Mg
2.513 2.513 2.513 Ga
```

*B*
First-principles (PBE) data for a geometry-optimized MgGaAs3 structure, as listed in the Alexandria database.

Properties
The calculation puts the density of states at the Fermi level at 5.17 states/eV/f.u.

```
MgGaAs3
1.0
-0.489 -4.606 1.700
3.668 0.793 3.203
-3.263 1.581 3.346
As Mg Ga
3 1 1
Cartesian
1.834 0.396 1.601 As
-1.632 0.791 1.673 As
-0.244 -2.303 0.850 As
-0.042 -1.116 4.124 Mg
0.000 0.000 0.000 Ga
```

Quick one: most stable of them? *B*

*A*
First-principles (PBE) data for a geometry-optimized MgGaAs structure, as listed in the Alexandria database.

Properties
The calculation puts the density of states at the Fermi level at 1.17 states/eV/f.u.

```
MgGaAs
1.0
4.009 0.000 0.000
0.000 9.004 0.000
0.000 0.000 3.568
Mg Ga As
2 2 2
Cartesian
0.000 3.307 1.784 Mg
2.004 5.696 0.000 Mg
0.000 8.606 1.784 Ga
2.004 0.398 0.000 Ga
0.000 6.109 1.784 As
2.004 2.894 0.000 As
```

*B*
First-principles (PBE) data for a geometry-optimized MgGaAs structure, as listed in the Alexandria database.

Properties
The calculation puts the density of states at the Fermi level at 0.06 states/eV/f.u.

```
MgGaAs
1.0
8.030 0.000 0.003
0.000 4.612 0.000
-2.497 0.000 7.492
Mg Ga As
4 4 4
Cartesian
4.629 3.494 1.757 Mg
0.904 3.494 5.738 Mg
3.380 1.188 5.503 Mg
2.153 1.188 1.992 Mg
7.151 0.848 2.293 Ga
-1.618 0.848 5.201 Ga
5.903 3.154 6.039 Ga
-0.370 3.154 1.455 Ga
4.705 1.200 3.106 As
0.828 1.200 4.388 As
3.456 3.506 6.852 As
2.077 3.506 0.642 As
```

Quick one: most stable of them? *B*

*A*
First-principles (PBE) data for a geometry-optimized MgGaAs structure, as listed in the Alexandria database.

Properties
The calculation puts the density of states at the Fermi level at 0.49 states/eV/f.u.

```
MgGaAs
1.0
3.795 0.000 0.000
0.000 15.601 0.000
0.000 0.000 4.310
Mg Ga As
4 4 4
Cartesian
0.000 10.527 1.078 Mg
0.000 5.075 3.233 Mg
1.897 2.726 1.078 Mg
1.897 12.875 3.233 Mg
0.000 7.170 1.078 Ga
0.000 8.431 3.233 Ga
1.897 14.971 1.078 Ga
1.897 0.631 3.233 Ga
0.000 13.247 1.078 As
0.000 2.354 3.233 As
1.897 5.446 1.078 As
1.897 10.155 3.233 As
```

*B*
First-principles (PBE) data for a geometry-optimized MgGaAs structure, as listed in the Alexandria database.

Properties
The calculation puts the density of states at the Fermi level at 0.47 states/eV/f.u.

```
MgGaAs
1.0
4.416 0.000 0.000
2.208 3.824 0.000
2.208 1.275 9.182
Mg As Ga
2 2 2
Cartesian
4.416 2.549 8.033 Mg
4.416 2.549 1.149 Mg
2.208 1.275 1.664 As
6.624 3.824 7.518 As
2.208 1.275 4.079 Ga
6.624 3.824 5.103 Ga
```

Quick one: most stable of them? *A*

*A*
First-principles (PBE) data for a geometry-optimized MgGaAs2Se structure, as listed in the Alexandria database.

Properties
The calculation puts the density of states at the Fermi level at 5.86 states/eV/f.u.

```
MgGaAs2Se
1.0
4.875 0.000 0.000
0.000 4.875 0.000
0.000 0.000 5.151
Mg As Ga Se
1 2 1 1
Cartesian
2.438 2.438 2.576 Mg
0.000 2.438 0.000 As
2.438 0.000 0.000 As
0.000 0.000 0.000 Ga
0.000 0.000 2.576 Se
```

*B*
First-principles (PBE) data for a geometry-optimized MgGaAs2Se structure, as listed in the Alexandria database.

Properties
The calculation puts the density of states at the Fermi level at 4.55 states/eV/f.u.

```
MgGaAs2Se
1.0
-1.889 4.052 -2.301
-4.363 -2.409 -0.661
-1.678 1.795 4.539
Mg As Ga Se
1 2 1 1
Cartesian
0.000 0.000 0.000 Mg
-2.182 -1.205 -0.330 As
-0.944 2.026 -1.150 As
-3.965 1.719 0.789 Ga
-0.839 0.898 2.270 Se
```

Quick one: most stable of them? *A*

*A*
First-principles (PBE) data for a geometry-optimized MgGaAsSe2 structure, as listed in the Alexandria database.

Properties
The calculation puts the density of states at the Fermi level at 4.99 states/eV/f.u.

```
MgGaAsSe2
1.0
5.164 0.000 0.000
0.000 5.164 0.000
0.000 0.000 4.979
Mg As Ga Se
1 1 1 2
Cartesian
0.000 0.000 0.000 Mg
0.000 0.000 2.489 As
2.582 2.582 2.489 Ga
0.000 2.582 0.000 Se
2.582 0.000 0.000 Se
```

*B*
First-principles (PBE) data for a geometry-optimized MgGaAsSe2 structure, as listed in the Alexandria database.

Properties
The calculation puts the density of states at the Fermi level at 5.71 states/eV/f.u.

```
MgGaAsSe2
1.0
5.103 0.000 0.000
0.000 5.103 0.000
0.000 0.000 4.773
Mg As Ga Se
1 1 1 2
Cartesian
2.552 2.552 2.386 Mg
0.000 0.000 2.386 As
0.000 0.000 0.000 Ga
0.000 2.552 0.000 Se
2.552 0.000 0.000 Se
```

Quick one: most stable of them? *B*

*A*
First-principles (PBE) data for a geometry-optimized MnGa3As structure, as listed in the Alexandria database.

Properties
The calculation puts the density of states at the Fermi level at 2.29 states/eV/f.u.

```
MnGa3As
1.0
-1.187 2.806 3.522
1.889 -2.996 3.024
4.087 2.200 -0.375
As Mn Ga
1 1 3
Cartesian
2.395 1.005 3.085 As
0.000 0.000 0.000 Mn
0.945 -1.498 1.512 Ga
2.044 1.100 -0.187 Ga
-0.594 1.403 1.761 Ga
```

*B*
First-principles (PBE) data for a geometry-optimized MnGa3As structure, as listed in the Alexandria database.

Properties
The calculation puts the density of states at the Fermi level at 2.51 states/eV/f.u.

```
MnGa3As
1.0
5.016 0.000 0.000
0.000 5.016 0.000
0.000 0.000 5.016
As Mn Ga
1 1 3
Cartesian
0.000 0.000 0.000 As
2.508 2.508 2.508 Mn
0.000 2.508 0.000 Ga
0.000 0.000 2.508 Ga
2.508 0.000 0.000 Ga
```

Quick one: most stable of them? *A*

*A*
First-principles (PBE) data for a geometry-optimized MnGaAsSe2 structure, as listed in the Alexandria database.

Properties
The calculation puts the density of states at the Fermi level at 4.33 states/eV/f.u.

```
MnGaAsSe2
1.0
-0.225 3.825 3.030
-4.324 1.249 -1.898
-2.202 -2.697 3.241
As Mn Ga Se
1 1 1 2
Cartesian
-1.101 -1.348 1.620 As
-3.375 1.188 2.186 Mn
0.000 0.000 0.000 Ga
-2.162 0.625 -0.949 Se
-0.113 1.912 1.515 Se
```

*B*
First-principles (PBE) data for a geometry-optimized MnGaAsSe2 structure, as listed in the Alexandria database.

Properties
The calculation puts the density of states at the Fermi level at 3.61 states/eV/f.u.

```
MnGaAsSe2
1.0
-3.363 3.366 0.982
-0.288 -1.621 4.570
3.247 2.886 1.228
As Mn Ga Se
1 1 1 2
Cartesian
1.623 1.443 0.614 As
0.000 0.000 0.000 Mn
-0.202 2.315 3.390 Ga
-0.144 -0.810 2.285 Se
-1.681 1.683 0.491 Se
```

Quick one: most stable of them? *B*

*A*
First-principles (PBE) data for a geometry-optimized GaMo2As2 structure, as listed in the Alexandria database.

Properties
The calculation puts the density of states at the Fermi level at 5.26 states/eV/f.u.

```
GaMo2As2
1.0
7.110 0.000 0.000
0.000 7.110 0.000
0.000 0.000 3.272
Mo As Ga
4 4 2
Cartesian
2.492 6.047 0.000 Mo
6.047 4.618 0.000 Mo
4.618 1.063 0.000 Mo
1.063 2.492 0.000 Mo
1.031 4.586 1.636 As
4.586 6.079 1.636 As
6.079 2.524 1.636 As
2.524 1.031 1.636 As
0.000 0.000 0.000 Ga
3.555 3.555 0.000 Ga
```

*B*
First-principles (PBE) data for a geometry-optimized GaMo2As2 structure, as listed in the Alexandria database.

Properties
The calculation puts the density of states at the Fermi level at 2.95 states/eV/f.u.

```
GaMo2As2
1.0
3.643 0.000 0.000
0.000 3.643 0.000
1.821 1.821 6.452
Mo As Ga
2 2 1
Cartesian
1.821 1.821 1.393 Mo
3.643 3.643 5.058 Mo
3.643 1.821 3.226 As
1.821 3.643 3.226 As
0.000 0.000 0.000 Ga
```

Quick one: most stable of them? *A*

*A*
First-principles (PBE) data for a geometry-optimized Ga3MoAs structure, as listed in the Alexandria database.

Properties
The calculation puts the density of states at the Fermi level at 2.57 states/eV/f.u.

```
Ga3MoAs
1.0
-0.079 -1.021 -4.823
3.758 -3.134 0.602
-3.190 -3.666 0.828
Mo As Ga
1 1 3
Cartesian
0.245 -3.910 -1.696 Mo
0.000 0.000 0.000 As
1.879 -1.567 0.301 Ga
-1.595 -1.833 0.414 Ga
-0.040 -0.510 -2.411 Ga
```

*B*
First-principles (PBE) data for a geometry-optimized Ga3MoAs structure, as listed in the Alexandria database.

Properties
The calculation puts the density of states at the Fermi level at 5.36 states/eV/f.u.

```
Ga3MoAs
1.0
4.940 0.000 0.000
0.000 4.940 0.000
0.000 0.000 4.940
Mo As Ga
1 1 3
Cartesian
0.000 0.000 0.000 Mo
2.470 2.470 2.470 As
0.000 2.470 0.000 Ga
0.000 0.000 2.470 Ga
2.470 0.000 0.000 Ga
```

Quick one: most stable of them? *B*